4
Lattice="-2.387 1.193 -1.088 2.793 -1.207 -3.635 -2.306 -4.122 0.539" Properties=species:S:1:pos:R:3 comment="SbOs2Ru (GGA-PBEsol, optimized geometry)" volume_a3_per_fu=61.1 raw_formation_energy_mev_per_atom=418 pbc="T T T"
Os -1.848 -3.976 -4.120
Ru -2.331 -1.491 -0.337
Sb -0.999 -0.809 -2.511
Os -0.968 -3.463 -1.673